(1)
Computed, not measured: MgNb2Sn2 after structural relaxation at the PBE level of DFT.

Lattice parameters (Å, degrees): 7.7278 7.7278 3.5751 90.00 90.00 90.00
Closest atoms and distances in Å follow each position.
Fractional coordinates of all 10 atoms:
Mg  0.0000  0.0000  0.0000  4 Sn 2.92
Mg  0.5000  0.5000  0.0000  4 Sn 2.92
Sn  0.6563  0.1563  0.0000  6 Nb 2.87-2.91, 2 Mg 2.92
Nb  0.3662  0.1338  0.5000  6 Sn 2.87-2.91, 1 Nb 2.92
Sn  0.8437  0.6563  0.0000  6 Nb 2.87-2.91, 2 Mg 2.92
Sn  0.1563  0.3437  0.0000  6 Nb 2.87-2.91, 2 Mg 2.92
Nb  0.1338  0.6338  0.5000  6 Sn 2.87-2.91, 1 Nb 2.92
Nb  0.8662  0.3662  0.5000  6 Sn 2.87-2.91, 1 Nb 2.92
Sn  0.3437  0.8437  0.0000  6 Nb 2.87-2.91, 2 Mg 2.92
Nb  0.6338  0.8662  0.5000  6 Sn 2.87-2.91, 1 Nb 2.92

Summary:
magnetization	0.00	μB per cell
energy relative to the elements	0.046	eV/atom
volume	214	Å³/cell
symmetry	P4/mbm
E above lowest polymorph	0	meV per atom

---

(2)
Computed, not measured: Mg6NbSn after structural relaxation at the PBE level of DFT.

Lattice parameters (Å, degrees): 6.2764 6.2764 5.0188 90.00 90.00 120.07
Closest atoms and distances in Å follow each position.
Fractional coordinates of all 8 atoms:
Mg  0.1752  0.3399  0.0000  2 Sn 3.04-3.24, 8 Mg 3.04-3.23, 2 Nb 3.09
Mg  0.6601  0.8248  0.0000  2 Sn 3.04-3.24, 8 Mg 3.04-3.23, 2 Nb 3.09
Mg  0.8222  0.6658  0.5000  8 Mg 3.06-3.21, 2 Nb 3.11-3.17, 2 Sn 3.16
Sn  0.1758  0.8242  0.0000  2 Nb 3.01, 10 Mg 3.04-3.24
Mg  0.3342  0.1778  0.5000  8 Mg 3.06-3.21, 2 Nb 3.11-3.17, 2 Sn 3.16
Nb  0.3292  0.6708  0.5000  2 Sn 3.01, 10 Mg 3.09-3.17
Mg  0.8341  0.1659  0.5000  10 Mg 3.08-3.18, 2 Nb 3.14
Mg  0.6693  0.3307  0.0000  10 Mg 3.08-3.15, 2 Sn 3.14

Summary:
magnetization	0.76	μB per cell
energy relative to the elements	0.065	eV/atom
volume	171	Å³/cell
symmetry	Amm2

---

(3)
Computed, not measured: Mg2NbSn2 after structural relaxation at the PBE level of DFT.

Lattice parameters (Å, degrees): 7.4841 7.4841 4.0299 90.00 90.00 90.00
Closest atoms and distances in Å follow each position.
Fractional coordinates of all 10 atoms:
Mg  0.8370  0.3370  0.5000  6 Sn 2.87-3.06
Nb  0.0000  0.0000  0.0000  4 Sn 2.87
Mg  0.1630  0.6630  0.5000  6 Sn 2.87-3.06
Mg  0.3370  0.1630  0.5000  6 Sn 2.87-3.06
Sn  0.8560  0.6440  0.0000  6 Mg 2.87-3.06, 2 Nb 2.87, 1 Sn 3.05
Sn  0.6440  0.1440  0.0000  6 Mg 2.87-3.06, 2 Nb 2.87, 1 Sn 3.05
Mg  0.6630  0.8370  0.5000  6 Sn 2.87-3.06
Nb  0.5000  0.5000  0.0000  4 Sn 2.87
Sn  0.1440  0.3560  0.0000  6 Mg 2.87-3.06, 2 Nb 2.87, 1 Sn 3.05
Sn  0.3560  0.8560  0.0000  6 Mg 2.87-3.06, 2 Nb 2.87, 1 Sn 3.05

Summary:
magnetization	0.00	μB per cell
energy relative to the elements	0.117	eV/atom
volume	226	Å³/cell
symmetry	P4/mbm

---

(4)
Computed, not measured: MgNbSn3 after structural relaxation at the PBE level of DFT.

Lattice parameters (Å, degrees): 5.2540 5.2540 5.2540 90.00 90.00 90.00
Closest atoms and distances in Å follow each position.
Fractional coordinates of all 5 atoms:
Nb  0.5000  0.5000  0.5000  12 Sn 3.72
Mg  0.0000  0.0000  0.0000  6 Sn 2.63
Sn  0.0000  0.0000  0.5000  2 Mg 2.63
Sn  0.0000  0.5000  0.0000  2 Mg 2.63
Sn  0.5000  0.0000  0.0000  2 Mg 2.63

Summary:
magnetization	3.25	μB per cell
energy relative to the elements	1.046	eV/atom
volume	145	Å³/cell
symmetry	Pm-3m
E above lowest polymorph	702	meV per atom

---

(5)
Computed, not measured: MgNbSn after structural relaxation at the PBE level of DFT.

Lattice parameters (Å, degrees): 4.6759 4.6759 7.8862 72.75 72.75 60.00
Closest atoms and distances in Å follow each position.
Fractional coordinates of all 6 atoms:
Nb  0.8385  0.8385  0.4844  3 Nb 2.71, 1 Mg 2.94
Mg  0.2937  0.2937  0.1188  1 Nb 2.94, 4 Sn 2.97-3.00, 3 Mg 3.22
Sn  0.5713  0.5713  0.2862  4 Mg 2.97-3.00, 6 Nb 3.07-3.19, 1 Sn 3.17
Mg  0.7063  0.7063  0.8812  1 Nb 2.94, 4 Sn 2.97-3.00, 3 Mg 3.22
Sn  0.4287  0.4287  0.7138  4 Mg 2.97-3.00, 6 Nb 3.07-3.19, 1 Sn 3.17
Nb  0.1615  0.1615  0.5156  3 Nb 2.71, 1 Mg 2.94

Summary:
magnetization	0.00	μB per cell
energy relative to the elements	0.108	eV/atom
volume	140	Å³/cell
symmetry	R-3m

---

(6)
Computed, not measured: MgNb3Sn after structural relaxation at the PBE level of DFT.

Lattice parameters (Å, degrees): 4.7639 4.7639 4.7639 90.00 90.00 90.00
Closest atoms and distances in Å follow each position.
Fractional coordinates of all 5 atoms:
Nb  0.0000  0.0000  0.5000  2 Mg 2.38
Nb  0.5000  0.0000  0.0000  2 Mg 2.38
Nb  0.0000  0.5000  0.0000  2 Mg 2.38
Mg  0.0000  0.0000  0.0000  6 Nb 2.38
Sn  0.5000  0.5000  0.5000  12 Nb 3.37

Summary:
magnetization	0.00	μB per cell
energy relative to the elements	1.362	eV/atom
volume	108	Å³/cell
symmetry	Pm-3m
E above lowest polymorph	0	meV per atom